The following is a DFT calculation (PBE) of an optimized crystal structure of SiTe.

abc: 4.0315 4.0315 3.0059
angles: 90.00 90.00 90.00
Closest atoms and distances in Å follow each position.
Atoms (fractional coordinates):
Si (0.0000, 0.0000, 0.0000)  4 Te 2.85, 2 Si 3.01
Te (0.5000, 0.5000, 0.0000)  4 Si 2.85, 2 Te 3.01

As for the volume: 49 Å³/f.u. The value obtained for the total energy is -7.8 eV per cell. The space group is P4/mmm, No. 123. The value obtained for the uncorrected formation energy is 0.369 eV per atom.

The following is a DFT calculation (PBE) of an optimized crystal structure of Co2AgCl.

abc: 8.1130 8.1130 8.1130
angles: 20.60 20.60 20.60
Closest atoms and distances in Å follow each position.
Atoms (fractional coordinates):
Co (0.0079, 0.0079, 0.0079)  3 Cl 2.46, 3 Ag 2.74
Co (0.4921, 0.4921, 0.4921)  3 Cl 2.46, 3 Ag 2.74
Ag (0.2500, 0.2500, 0.2500)  6 Co 2.74, 6 Ag 2.90
Cl (0.7500, 0.7500, 0.7500)  6 Co 2.46

As for the volume: 58 Å³/f.u. The value obtained for the total energy is -17.0 eV per cell. The space group is R-3m, No. 166. The value obtained for the uncorrected formation energy is 0.465 eV per atom.

The following is a DFT calculation (PBE) of an optimized crystal structure of Pa6AlSe12.

abc: 8.1590 8.1590 8.1590
angles: 100.38 100.38 100.38
Closest atoms and distances in Å follow each position.
Atoms (fractional coordinates):
Pa (0.6981, 0.8704, 0.3691)  7 Se 2.87-3.06
Pa (0.6309, 0.3019, 0.1296)  7 Se 2.87-3.06
Pa (0.1296, 0.6309, 0.3019)  7 Se 2.87-3.06
Pa (0.3019, 0.1296, 0.6309)  7 Se 2.87-3.06
Pa (0.3691, 0.6981, 0.8704)  7 Se 2.87-3.06
Pa (0.8704, 0.3691, 0.6981)  7 Se 2.87-3.06
Al (0.0000, 0.0000, 0.0000)  6 Se 2.58
Se (0.8217, 0.5756, 0.4344)  4 Pa 2.87-2.99
Se (0.4344, 0.8217, 0.5756)  4 Pa 2.87-2.99
Se (0.5756, 0.4344, 0.8217)  4 Pa 2.87-2.99
Se (0.1783, 0.4244, 0.5656)  4 Pa 2.87-2.99
Se (0.5656, 0.1783, 0.4244)  4 Pa 2.87-2.99
Se (0.4244, 0.5656, 0.1783)  4 Pa 2.87-2.99
Se (0.0607, 0.9671, 0.3119)  1 Al 2.58
Se (0.0329, 0.6881, 0.9393)  1 Al 2.58
Se (0.6881, 0.9393, 0.0329)  1 Al 2.58
Se (0.9393, 0.0329, 0.6881)  1 Al 2.58
Se (0.9671, 0.3119, 0.0607)  1 Al 2.58
Se (0.3119, 0.0607, 0.9671)  1 Al 2.58

As for the volume: 513 Å³/f.u. The value obtained for the total energy is -125.6 eV per cell. The space group is R-3, No. 148. The value obtained for the uncorrected formation energy is -1.214 eV per atom.

The following is a DFT calculation (PBE) of an optimized crystal structure of BaCr2Co.

abc: 4.4785 4.4785 4.4785
angles: 60.00 60.00 60.00
Closest atoms and distances in Å follow each position.
Atoms (fractional coordinates):
Cr (0.2500, 0.2500, 0.2500)  4 Ba 2.74, 4 Co 2.74
Cr (0.7500, 0.7500, 0.7500)  4 Ba 2.74, 4 Co 2.74
Co (0.0000, 0.0000, 0.0000)  8 Cr 2.74
Ba (0.5000, 0.5000, 0.5000)  8 Cr 2.74

As for the volume: 64 Å³/f.u. The value obtained for the total energy is -22.2 eV per cell. Its energy of formation is 1.515 eV/atom. The space group is Fm-3m, No. 225.

The following is a DFT calculation (PBE) of an optimized crystal structure of CaZnGa4Ag2.

abc: 4.5358 4.5358 9.2681
angles: 75.84 75.84 60.00
Closest atoms and distances in Å follow each position.
Atoms (fractional coordinates):
Ca (0.0000, 0.0000, 0.0000)  8 Ga 3.15-3.37
Zn (0.5000, 0.5000, 0.5000)  8 Ga 2.70-2.83
Ga (0.3987, 0.3987, 0.8038)  3 Ag 2.70, 1 Zn 2.70
Ga (0.8737, 0.8737, 0.3788)  3 Ag 2.80, 3 Zn 2.83, 3 Ga 3.08
Ga (0.1263, 0.1263, 0.6212)  3 Ag 2.80, 3 Zn 2.83, 3 Ga 3.08
Ga (0.6013, 0.6013, 0.1962)  3 Ag 2.70, 1 Zn 2.70
Ag (0.7560, 0.7560, 0.7321)  6 Ga 2.70-2.80
Ag (0.2440, 0.2440, 0.2679)  6 Ga 2.70-2.80

As for the volume: 158 Å³/f.u. The value obtained for the total energy is -22.1 eV per cell. Its energy of formation is -0.130 eV/atom. The space group is R-3m, No. 166.

The following is a DFT calculation (PBE) of an optimized crystal structure of LiTi2Nb.

abc: 4.5421 4.5421 4.5421
angles: 60.00 60.00 60.00
Closest atoms and distances in Å follow each position.
Atoms (fractional coordinates):
Nb (0.5000, 0.5000, 0.5000)  8 Ti 2.78
Li (0.0000, 0.0000, 0.0000)  8 Ti 2.78
Ti (0.2500, 0.2500, 0.2500)  4 Nb 2.78, 4 Li 2.78
Ti (0.7500, 0.7500, 0.7500)  4 Nb 2.78, 4 Li 2.78

As for the volume: 66 Å³/f.u. The value obtained for the total energy is -26.8 eV per cell. Its energy of formation is 0.235 eV/atom. The space group is Fm-3m, No. 225.